# YHfIN2 (PBE, optimized geometry)
data_YHfIN2
_chemical_formula_sum 'Y1 Hf1 I1 N2'
_space_group_name_H-M_alt 'P 4/m m m'
_space_group_IT_number 123
_space_group_name_Hall '-P 4 2'
_cell_length_a 4.271
_cell_length_b 4.271
_cell_length_c 5.523
_cell_angle_alpha 90.00
_cell_angle_beta 90.00
_cell_angle_gamma 90.00
loop_
_atom_site_label
_atom_site_fract_x
_atom_site_fract_y
_atom_site_fract_z
Y1 0.000 0.000 0.000
Hf1 0.500 0.500 0.500
I1 0.500 0.500 0.000
N1 0.000 0.500 0.500
# Formation energy without anion corrections (meV/atom): -106.3
# Polymorph energy (0 for the lowest one) (meV/atom): 0.0

# YHfI2N (PBE, optimized geometry)
data_YHfI2N
_chemical_formula_sum 'Y1 Hf1 I2 N1'
_space_group_name_H-M_alt 'P 4/m m m'
_space_group_IT_number 123
_space_group_name_Hall '-P 4 2'
_cell_length_a 5.841
_cell_length_b 5.841
_cell_length_c 4.006
_cell_angle_alpha 90.00
_cell_angle_beta 90.00
_cell_angle_gamma 90.00
loop_
_atom_site_label
_atom_site_fract_x
_atom_site_fract_y
_atom_site_fract_z
Y1 0.000 0.000 0.000
Hf1 0.500 0.500 0.500
I1 0.000 0.500 0.500
N1 0.500 0.500 0.000
# Formation energy without anion corrections (meV/atom): -272.4
# Polymorph energy (0 for the lowest one) (meV/atom): 0.0

# YHfI2N (PBE, optimized geometry)
data_YHfI2N
_chemical_formula_sum 'Y1 Hf1 I2 N1'
_space_group_name_H-M_alt 'P 4/m m m'
_space_group_IT_number 123
_space_group_name_Hall '-P 4 2'
_cell_length_a 6.123
_cell_length_b 6.123
_cell_length_c 4.012
_cell_angle_alpha 90.00
_cell_angle_beta 90.00
_cell_angle_gamma 90.00
loop_
_atom_site_label
_atom_site_fract_x
_atom_site_fract_y
_atom_site_fract_z
Y1 0.000 0.000 0.000
Hf1 0.500 0.500 0.500
I1 0.000 0.500 0.000
N1 0.000 0.000 0.500
# Formation energy without anion corrections (meV/atom): 358.4
# Polymorph energy (0 for the lowest one) (meV/atom): 630.7

# YHfIN2 (PBE, optimized geometry)
data_YHfIN2
_chemical_formula_sum 'Y1 Hf1 I1 N2'
_space_group_name_H-M_alt 'P 4/m m m'
_space_group_IT_number 123
_space_group_name_Hall '-P 4 2'
_cell_length_a 4.393
_cell_length_b 4.393
_cell_length_c 5.702
_cell_angle_alpha 90.00
_cell_angle_beta 90.00
_cell_angle_gamma 90.00
loop_
_atom_site_label
_atom_site_fract_x
_atom_site_fract_y
_atom_site_fract_z
Y1 0.000 0.000 0.000
Hf1 0.500 0.500 0.500
I1 0.000 0.000 0.500
N1 0.000 0.500 0.000
# Formation energy without anion corrections (meV/atom): 922.5
# Polymorph energy (0 for the lowest one) (meV/atom): 1028.8

# HfZnIN2 (PBE, optimized geometry)
data_HfZnIN2
_chemical_formula_sum 'Hf1 Zn1 I1 N2'
_space_group_name_H-M_alt 'P 4/m m m'
_space_group_IT_number 123
_space_group_name_Hall '-P 4 2'
_cell_length_a 4.134
_cell_length_b 4.134
_cell_length_c 6.138
_cell_angle_alpha 90.00
_cell_angle_beta 90.00
_cell_angle_gamma 90.00
loop_
_atom_site_label
_atom_site_fract_x
_atom_site_fract_y
_atom_site_fract_z
Hf1 0.000 0.000 0.000
Zn1 0.500 0.500 0.500
I1 0.000 0.000 0.500
N1 0.000 0.500 0.000
# Formation energy without anion corrections (meV/atom): 320.8
# Polymorph energy (0 for the lowest one) (meV/atom): 0.0

# HfZnI2N (PBE, optimized geometry)
data_HfZnI2N
_chemical_formula_sum 'Hf1 Zn1 I2 N1'
_space_group_name_H-M_alt 'P 4/m m m'
_space_group_IT_number 123
_space_group_name_Hall '-P 4 2'
_cell_length_a 5.927
_cell_length_b 5.927
_cell_length_c 3.992
_cell_angle_alpha 90.00
_cell_angle_beta 90.00
_cell_angle_gamma 90.00
loop_
_atom_site_label
_atom_site_fract_x
_atom_site_fract_y
_atom_site_fract_z
Hf1 0.000 0.000 0.000
Zn1 0.500 0.500 0.500
I1 0.000 0.500 0.000
N1 0.000 0.000 0.500
# Formation energy without anion corrections (meV/atom): -110.7
# Polymorph energy (0 for the lowest one) (meV/atom): 0.0

# HfZnIN2 (PBE, optimized geometry)
data_HfZnIN2
_chemical_formula_sum 'Hf1 Zn1 I1 N2'
_space_group_name_H-M_alt 'P 4/m m m'
_space_group_IT_number 123
_space_group_name_Hall '-P 4 2'
_cell_length_a 4.052
_cell_length_b 4.052
_cell_length_c 5.121
_cell_angle_alpha 90.00
_cell_angle_beta 90.00
_cell_angle_gamma 90.00
loop_
_atom_site_label
_atom_site_fract_x
_atom_site_fract_y
_atom_site_fract_z
Hf1 0.000 0.000 0.000
Zn1 0.500 0.500 0.500
I1 0.500 0.500 0.000
N1 0.000 0.500 0.500
# Formation energy without anion corrections (meV/atom): 1449.9
# Polymorph energy (0 for the lowest one) (meV/atom): 1129.1

# HfZnI2N (PBE, optimized geometry)
data_HfZnI2N
_chemical_formula_sum 'Hf1 Zn1 I2 N1'
_space_group_name_H-M_alt 'P 4/m m m'
_space_group_IT_number 123
_space_group_name_Hall '-P 4 2'
_cell_length_a 5.647
_cell_length_b 5.647
_cell_length_c 3.625
_cell_angle_alpha 90.00
_cell_angle_beta 90.00
_cell_angle_gamma 90.00
loop_
_atom_site_label
_atom_site_fract_x
_atom_site_fract_y
_atom_site_fract_z
Hf1 0.000 0.000 0.000
Zn1 0.500 0.500 0.500
I1 0.000 0.500 0.500
N1 0.500 0.500 0.000
# Formation energy without anion corrections (meV/atom): 802.8
# Polymorph energy (0 for the lowest one) (meV/atom): 913.5

# HfZrI2N (PBE, optimized geometry)
data_HfZrI2N
_chemical_formula_sum 'Hf1 Zr1 I2 N1'
_space_group_name_H-M_alt 'P 4/m m m'
_space_group_IT_number 123
_space_group_name_Hall '-P 4 2'
_cell_length_a 5.894
_cell_length_b 5.894
_cell_length_c 3.951
_cell_angle_alpha 90.00
_cell_angle_beta 90.00
_cell_angle_gamma 90.00
loop_
_atom_site_label
_atom_site_fract_x
_atom_site_fract_y
_atom_site_fract_z
Hf1 0.000 0.000 0.000
Zr1 0.500 0.500 0.500
I1 0.000 0.500 0.500
N1 0.500 0.500 0.000
# Formation energy without anion corrections (meV/atom): 346.5
# Polymorph energy (0 for the lowest one) (meV/atom): 172.6

# HfZrI2N (PBE, optimized geometry)
data_HfZrI2N
_chemical_formula_sum 'Hf1 Zr1 I2 N1'
_space_group_name_H-M_alt 'P 4/m m m'
_space_group_IT_number 123
_space_group_name_Hall '-P 4 2'
_cell_length_a 5.844
_cell_length_b 5.844
_cell_length_c 3.928
_cell_angle_alpha 90.00
_cell_angle_beta 90.00
_cell_angle_gamma 90.00
loop_
_atom_site_label
_atom_site_fract_x
_atom_site_fract_y
_atom_site_fract_z
Hf1 0.000 0.000 0.000
Zr1 0.500 0.500 0.500
I1 0.000 0.500 0.000
N1 0.000 0.000 0.500
# Formation energy without anion corrections (meV/atom): 173.8
# Polymorph energy (0 for the lowest one) (meV/atom): 0.0

# NaHf2I (PBE, optimized geometry)
data_NaHf2I
_chemical_formula_sum 'Na4 Hf8 I4'
_space_group_name_H-M_alt 'F m -3 m'
_space_group_IT_number 225
_space_group_name_Hall '-F 4 2 3'
_cell_length_a 7.189
_cell_length_b 7.189
_cell_length_c 7.189
_cell_angle_alpha 90.00
_cell_angle_beta 90.00
_cell_angle_gamma 90.00
loop_
_atom_site_label
_atom_site_fract_x
_atom_site_fract_y
_atom_site_fract_z
Na1 0.000 0.000 0.000
Hf1 0.250 0.250 0.250
I1 0.000 0.000 0.500
# Formation energy without anion corrections (meV/atom): 749.6
# Polymorph energy (0 for the lowest one) (meV/atom): 15.8

# NaHfI6 (PBE, optimized geometry)
data_NaHfI6
_chemical_formula_sum 'Na1 Hf1 I6'
_space_group_name_H-M_alt 'P -1'
_space_group_IT_number 2
_space_group_name_Hall '-P 1'
_cell_length_a 7.681
_cell_length_b 7.684
_cell_length_c 7.904
_cell_angle_alpha 61.20
_cell_angle_beta 61.17
_cell_angle_gamma 60.01
loop_
_atom_site_label
_atom_site_fract_x
_atom_site_fract_y
_atom_site_fract_z
Na1 0.000 0.000 0.000
Hf1 0.500 0.500 0.500
I1 0.099 0.711 0.742
I2 0.292 0.552 0.254
I3 0.446 0.101 0.744
# Formation energy without anion corrections (meV/atom): -770.9

# Na3HfI (PBE, optimized geometry)
data_Na3HfI
_chemical_formula_sum 'Na3 Hf1 I1'
_space_group_name_H-M_alt 'P m -3 m'
_space_group_IT_number 221
_space_group_name_Hall '-P 4 2 3'
_cell_length_a 5.870
_cell_length_b 5.870
_cell_length_c 5.870
_cell_angle_alpha 90.00
_cell_angle_beta 90.00
_cell_angle_gamma 90.00
loop_
_atom_site_label
_atom_site_fract_x
_atom_site_fract_y
_atom_site_fract_z
Na1 0.000 0.000 0.500
Hf1 0.500 0.500 0.500
I1 0.000 0.000 0.000
# Formation energy without anion corrections (meV/atom): 653.1
# Polymorph energy (0 for the lowest one) (meV/atom): 0.0

# NaHfI3 (PBE, optimized geometry)
data_NaHfI3
_chemical_formula_sum 'Na1 Hf1 I3'
_space_group_name_H-M_alt 'P m -3 m'
_space_group_IT_number 221
_space_group_name_Hall '-P 4 2 3'
_cell_length_a 5.742
_cell_length_b 5.742
_cell_length_c 5.742
_cell_angle_alpha 90.00
_cell_angle_beta 90.00
_cell_angle_gamma 90.00
loop_
_atom_site_label
_atom_site_fract_x
_atom_site_fract_y
_atom_site_fract_z
Na1 0.000 0.000 0.000
Hf1 0.500 0.500 0.500
I1 0.000 0.500 0.500
# Formation energy without anion corrections (meV/atom): -440.6

# NaHf2I (PBE, optimized geometry)
data_NaHf2I
_chemical_formula_sum 'Na4 Hf8 I4'
_space_group_name_H-M_alt 'I -4 2 d'
_space_group_IT_number 122
_space_group_name_Hall 'I -4 2bw'
_cell_length_a 8.436
_cell_length_b 8.436
_cell_length_c 5.930
_cell_angle_alpha 90.00
_cell_angle_beta 90.00
_cell_angle_gamma 90.00
loop_
_atom_site_label
_atom_site_fract_x
_atom_site_fract_y
_atom_site_fract_z
Na1 0.000 0.000 0.000
Hf1 0.211 0.250 0.625
I1 0.000 0.000 0.500
# Formation energy without anion corrections (meV/atom): 733.8
# Polymorph energy (0 for the lowest one) (meV/atom): 0.0

# Na2HfI6 (PBE, optimized geometry)
data_Na2HfI6
_chemical_formula_sum 'Na4 Hf2 I12'
_space_group_name_H-M_alt 'P 42/m n m'
_space_group_IT_number 136
_space_group_name_Hall '-P 4n 2n'
_cell_length_a 7.421
_cell_length_b 7.421
_cell_length_c 13.637
_cell_angle_alpha 90.00
_cell_angle_beta 90.00
_cell_angle_gamma 90.00
loop_
_atom_site_label
_atom_site_fract_x
_atom_site_fract_y
_atom_site_fract_z
Na1 0.000 0.000 0.166
Hf1 0.000 0.000 0.500
I1 0.190 0.190 0.350
I2 0.226 0.226 0.000
# Formation energy without anion corrections (meV/atom): -1024.4
# Polymorph energy (0 for the lowest one) (meV/atom): 19.1

# Na2HfI6 (PBE, optimized geometry)
data_Na2HfI6
_chemical_formula_sum 'Na4 Hf2 I12'
_space_group_name_H-M_alt 'P 1 21/c 1'
_space_group_IT_number 14
_space_group_name_Hall '-P 2ybc'
_cell_length_a 7.621
_cell_length_b 8.113
_cell_length_c 13.609
_cell_angle_alpha 90.00
_cell_angle_beta 122.26
_cell_angle_gamma 90.00
loop_
_atom_site_label
_atom_site_fract_x
_atom_site_fract_y
_atom_site_fract_z
Na1 0.183 0.102 0.228
Hf1 0.500 0.000 0.000
I1 0.137 0.187 0.938
I2 0.264 0.702 0.932
I3 0.412 0.040 0.768
# Formation energy without anion corrections (meV/atom): -1043.5
# Polymorph energy (0 for the lowest one) (meV/atom): 0.0

# Na3HfI (PBE, optimized geometry)
data_Na3HfI
_chemical_formula_sum 'Na3 Hf1 I1'
_space_group_name_H-M_alt 'P m -3 m'
_space_group_IT_number 221
_space_group_name_Hall '-P 4 2 3'
_cell_length_a 6.340
_cell_length_b 6.340
_cell_length_c 6.340
_cell_angle_alpha 90.00
_cell_angle_beta 90.00
_cell_angle_gamma 90.00
loop_
_atom_site_label
_atom_site_fract_x
_atom_site_fract_y
_atom_site_fract_z
Na1 0.000 0.000 0.500
Hf1 0.000 0.000 0.000
I1 0.500 0.500 0.500
# Formation energy without anion corrections (meV/atom): 950.3
# Polymorph energy (0 for the lowest one) (meV/atom): 297.3

# NaHf2NbI (PBE, optimized geometry)
data_NaHf2NbI
_chemical_formula_sum 'Na1 Hf2 Nb1 I1'
_space_group_name_H-M_alt 'P 4/m m m'
_space_group_IT_number 123
_space_group_name_Hall '-P 4 2'
_cell_length_a 5.032
_cell_length_b 5.032
_cell_length_c 6.228
_cell_angle_alpha 90.00
_cell_angle_beta 90.00
_cell_angle_gamma 90.00
loop_
_atom_site_label
_atom_site_fract_x
_atom_site_fract_y
_atom_site_fract_z
Na1 0.000 0.000 0.000
Hf1 0.000 0.500 0.500
Nb1 0.000 0.000 0.500
I1 0.500 0.500 0.000
# Formation energy without anion corrections (meV/atom): 1006.3

# NaHfIO6 (PBE, optimized geometry)
data_NaHfIO6
_chemical_formula_sum 'Na2 Hf2 I2 O12'
_space_group_name_H-M_alt 'P 42 n m'
_space_group_IT_number 102
_space_group_name_Hall 'P 4n -2n'
_cell_length_a 4.896
_cell_length_b 4.896
_cell_length_c 9.475
_cell_angle_alpha 90.00
_cell_angle_beta 90.00
_cell_angle_gamma 90.00
loop_
_atom_site_label
_atom_site_fract_x
_atom_site_fract_y
_atom_site_fract_z
Na1 0.000 0.000 0.000
Hf1 0.000 0.000 0.673
I1 0.000 0.000 0.332
O1 0.175 0.175 0.487
O2 0.198 0.198 0.194
O3 0.226 0.226 0.816
# Formation energy without anion corrections (meV/atom): -1594.7